[1]
Material: LiBAsBr2
Method: DFT, PBEsol
State: optimized geometry

Uncorrected energy in eV per cell: -13.12
V in Å³/atom: 21.25
ΔE_f (raw) in eV/f.u.: 4.71

CIF file:
```
data_LiBAsBr2
_cell_length_a 4.623
_cell_length_b 4.794
_cell_length_c 4.794
_cell_angle_alpha 90.00
_cell_angle_beta 90.00
_cell_angle_gamma 90.00
_symmetry_space_group_name_H-M 'P 1'
_symmetry_Int_Tables_number 1
_symmetry_space_group_name_Hall 'P 1'
loop_
_atom_site_label
_atom_site_type_symbol
_atom_site_fract_x
_atom_site_fract_y
_atom_site_fract_z
Br1 Br 0.000 0.500 0.000
Br2 Br 0.000 0.000 0.500
As1 As 0.500 0.000 0.000
B1 B 0.500 0.500 0.500
Li1 Li 0.000 0.000 0.000
```


[2]
Material: Cd5Au
Method: DFT, PBEsol
State: optimized geometry

Uncorrected energy in eV per cell: -10.22
V in Å³/atom: 19.65
Calculated formation energy in eV/atom: -0.0522
Polymorph energy (0 for the lowest one) in eV per atom: 0.028

CIF file:
```
data_Cd5Au
_cell_length_a 4.311
_cell_length_b 4.249
_cell_length_c 6.779
_cell_angle_alpha 71.74
_cell_angle_beta 90.00
_cell_angle_gamma 90.00
_symmetry_space_group_name_H-M 'P 1'
_symmetry_Int_Tables_number 1
_symmetry_space_group_name_Hall 'P 1'
loop_
_atom_site_label
_atom_site_type_symbol
_atom_site_fract_x
_atom_site_fract_y
_atom_site_fract_z
Cd1 Cd 0.000 0.663 0.674
Cd2 Cd 0.500 0.836 0.329
Cd3 Cd 0.500 0.500 0.000
Au1 Au 0.000 0.000 0.000
Cd4 Cd 0.000 0.337 0.326
Cd5 Cd 0.500 0.164 0.671
```


[3]
Material: BePt8
Method: DFT, PBEsol
State: optimized geometry

Uncorrected energy in eV per cell: -60.97
V in Å³/atom: 14.41
Calculated formation energy in eV/atom: -0.1401

CIF file:
```
data_BePt8
_cell_length_a 3.864
_cell_length_b 6.108
_cell_length_c 6.108
_cell_angle_alpha 84.26
_cell_angle_beta 71.56
_cell_angle_gamma 71.56
_symmetry_space_group_name_H-M 'P 1'
_symmetry_Int_Tables_number 1
_symmetry_space_group_name_Hall 'P 1'
loop_
_atom_site_label
_atom_site_type_symbol
_atom_site_fract_x
_atom_site_fract_y
_atom_site_fract_z
Pt1 Pt 0.339 0.323 0.000
Pt2 Pt 0.661 0.000 0.677
Pt3 Pt 0.000 0.673 0.327
Be1 Be 0.000 0.000 0.000
Pt4 Pt 0.000 0.327 0.673
Pt5 Pt 0.339 0.000 0.323
Pt6 Pt 0.673 0.327 0.327
Pt7 Pt 0.661 0.677 0.000
Pt8 Pt 0.327 0.673 0.673
```


[4]
Material: TiPtW3
Method: DFT, PBEsol
State: optimized geometry

Uncorrected energy in eV per cell: -46.27
V in Å³/atom: 20.95
Calculated formation energy in eV/atom: 2.0885

CIF file:
```
data_TiPtW3
_cell_length_a 4.714
_cell_length_b 4.714
_cell_length_c 4.714
_cell_angle_alpha 90.00
_cell_angle_beta 90.00
_cell_angle_gamma 90.00
_symmetry_space_group_name_H-M 'P 1'
_symmetry_Int_Tables_number 1
_symmetry_space_group_name_Hall 'P 1'
loop_
_atom_site_label
_atom_site_type_symbol
_atom_site_fract_x
_atom_site_fract_y
_atom_site_fract_z
Ti1 Ti 0.500 0.500 0.500
W1 W 0.500 0.000 0.000
W2 W 0.000 0.000 0.500
Pt1 Pt 0.000 0.000 0.000
W3 W 0.000 0.500 0.000
```


[5]
Material: LaBe2TcAu
Method: DFT, PBEsol
State: optimized geometry

Uncorrected energy in eV per cell: -25.65
V in Å³/atom: 19.69
Calculated formation energy in eV/atom: 0.5775

CIF file:
```
data_LaBe2TcAu
_cell_length_a 4.423
_cell_length_b 4.423
_cell_length_c 5.032
_cell_angle_alpha 90.00
_cell_angle_beta 90.00
_cell_angle_gamma 90.00
_symmetry_space_group_name_H-M 'P 1'
_symmetry_Int_Tables_number 1
_symmetry_space_group_name_Hall 'P 1'
loop_
_atom_site_label
_atom_site_type_symbol
_atom_site_fract_x
_atom_site_fract_y
_atom_site_fract_z
Au1 Au 0.500 0.500 0.500
Tc1 Tc 0.000 0.000 0.000
Be1 Be 0.000 0.500 0.000
Be2 Be 0.500 0.000 0.000
La1 La 0.000 0.000 0.500
```


[6]
Material: BaNiP
Method: DFT, PBEsol
State: optimized geometry

Uncorrected energy in eV per cell: -11.66
V in Å³/atom: 28.15
Calculated formation energy in eV/atom: 0.8141

CIF file:
```
data_BaNiP
_cell_length_a 4.925
_cell_length_b 4.925
_cell_length_c 4.925
_cell_angle_alpha 60.00
_cell_angle_beta 60.00
_cell_angle_gamma 60.00
_symmetry_space_group_name_H-M 'P 1'
_symmetry_Int_Tables_number 1
_symmetry_space_group_name_Hall 'P 1'
loop_
_atom_site_label
_atom_site_type_symbol
_atom_site_fract_x
_atom_site_fract_y
_atom_site_fract_z
Ni1 Ni 0.000 0.000 0.000
P1 P 0.500 0.500 0.500
Ba1 Ba 0.250 0.250 0.250
```


[7]
Material: BeCrSe2
Method: DFT, PBEsol
State: optimized geometry

Uncorrected energy in eV per cell: -19.28
V in Å³/atom: 16.07
ΔE_f (raw) in eV/f.u.: 2.66

CIF file:
```
data_BeCrSe2
_cell_length_a 4.497
_cell_length_b 4.497
_cell_length_c 4.497
_cell_angle_alpha 60.00
_cell_angle_beta 60.00
_cell_angle_gamma 60.00
_symmetry_space_group_name_H-M 'P 1'
_symmetry_Int_Tables_number 1
_symmetry_space_group_name_Hall 'P 1'
loop_
_atom_site_label
_atom_site_type_symbol
_atom_site_fract_x
_atom_site_fract_y
_atom_site_fract_z
Cr1 Cr 0.250 0.250 0.250
Be1 Be 0.500 0.500 0.500
Se1 Se 0.750 0.750 0.750
Se2 Se 0.000 0.000 0.000
```


[8]
Material: MnNi5
Method: DFT, PBEsol
State: optimized geometry

Uncorrected energy in eV per cell: -40.39
V in Å³/atom: 10.26
Calculated formation energy in eV/atom: 0.0259

CIF file:
```
data_MnNi5
_cell_length_a 2.426
_cell_length_b 2.426
_cell_length_c 10.451
_cell_angle_alpha 90.00
_cell_angle_beta 90.00
_cell_angle_gamma 90.00
_symmetry_space_group_name_H-M 'P 1'
_symmetry_Int_Tables_number 1
_symmetry_space_group_name_Hall 'P 1'
loop_
_atom_site_label
_atom_site_type_symbol
_atom_site_fract_x
_atom_site_fract_y
_atom_site_fract_z
Ni1 Ni 0.000 0.000 0.836
Ni2 Ni 0.000 0.000 0.500
Ni3 Ni 0.500 0.500 0.665
Ni4 Ni 0.000 0.000 0.164
Mn1 Mn 0.500 0.500 0.000
Ni5 Ni 0.500 0.500 0.335
```


[9]
Material: CsTeOsN2
Method: DFT, PBEsol
State: optimized geometry

Uncorrected energy in eV per cell: -18.34
V in Å³/atom: 23.19
ΔE_f (raw) in eV/f.u.: 15.39

CIF file:
```
data_CsTeOsN2
_cell_length_a 4.104
_cell_length_b 4.104
_cell_length_c 6.884
_cell_angle_alpha 90.00
_cell_angle_beta 90.00
_cell_angle_gamma 90.00
_symmetry_space_group_name_H-M 'P 1'
_symmetry_Int_Tables_number 1
_symmetry_space_group_name_Hall 'P 1'
loop_
_atom_site_label
_atom_site_type_symbol
_atom_site_fract_x
_atom_site_fract_y
_atom_site_fract_z
Te1 Te 0.000 0.000 0.500
Cs1 Cs 0.000 0.000 0.000
N1 N 0.000 0.500 0.000
Os1 Os 0.500 0.500 0.500
N2 N 0.500 0.000 0.000
```


[10]
Material: Sr5Sb2As
Method: DFT, PBEsol
State: optimized geometry

Uncorrected energy in eV per cell: -127.36
V in Å³/atom: 33.97
ΔE_f (raw) in eV/f.u.: -8.42

CIF file:
```
data_Sr5Sb2As
_cell_length_a 8.535
_cell_length_b 9.779
_cell_length_c 13.025
_cell_angle_alpha 90.00
_cell_angle_beta 90.00
_cell_angle_gamma 90.00
_symmetry_space_group_name_H-M 'P 1'
_symmetry_Int_Tables_number 1
_symmetry_space_group_name_Hall 'P 1'
loop_
_atom_site_label
_atom_site_type_symbol
_atom_site_fract_x
_atom_site_fract_y
_atom_site_fract_z
Sr1 Sr 0.814 0.964 0.925
As1 As 0.926 0.250 0.986
Sb1 Sb 0.565 0.991 0.171
Sr2 Sr 0.169 0.750 0.783
Sr3 Sr 0.831 0.250 0.217
Sr4 Sr 0.686 0.964 0.425
Sb2 Sb 0.065 0.009 0.329
As2 As 0.426 0.750 0.514
Sr5 Sr 0.686 0.536 0.425
Sr6 Sr 0.314 0.464 0.575
Sr7 Sr 0.814 0.536 0.925
Sr8 Sr 0.643 0.750 0.702
Sr9 Sr 0.043 0.750 0.498
Sb3 Sb 0.565 0.509 0.171
As3 As 0.074 0.750 0.014
As4 As 0.574 0.250 0.486
Sb4 Sb 0.435 0.009 0.829
Sr10 Sr 0.857 0.750 0.202
Sr11 Sr 0.314 0.036 0.575
Sr12 Sr 0.457 0.750 0.998
Sr13 Sr 0.543 0.250 0.002
Sb5 Sb 0.935 0.991 0.671
Sr14 Sr 0.357 0.250 0.298
Sr15 Sr 0.331 0.750 0.283
Sb6 Sb 0.935 0.509 0.671
Sr16 Sr 0.957 0.250 0.502
Sb7 Sb 0.435 0.491 0.829
Sr17 Sr 0.143 0.250 0.798
Sb8 Sb 0.065 0.491 0.329
Sr18 Sr 0.186 0.464 0.075
Sr19 Sr 0.669 0.250 0.717
Sr20 Sr 0.186 0.036 0.075
```


[11]
Material: Ba2Ag
Method: DFT, PBEsol
State: optimized geometry

Uncorrected energy in eV per cell: -15.69
V in Å³/atom: 48.35
Calculated formation energy in eV/atom: -0.0786
Polymorph energy (0 for the lowest one) in eV per atom: 0.060

CIF file:
```
data_Ba2Ag
_cell_length_a 4.784
_cell_length_b 7.642
_cell_length_c 7.935
_cell_angle_alpha 90.00
_cell_angle_beta 90.00
_cell_angle_gamma 90.00
_symmetry_space_group_name_H-M 'P 1'
_symmetry_Int_Tables_number 1
_symmetry_space_group_name_Hall 'P 1'
loop_
_atom_site_label
_atom_site_type_symbol
_atom_site_fract_x
_atom_site_fract_y
_atom_site_fract_z
Ba1 Ba 0.000 0.743 0.334
Ag1 Ag 0.500 0.500 0.500
Ba2 Ba 0.000 0.257 0.666
Ag2 Ag 0.000 0.000 0.000
Ba3 Ba 0.500 0.243 0.166
Ba4 Ba 0.500 0.757 0.834
```


[12]
Material: TbSiOs2C
Method: DFT, PBEsol
State: optimized geometry

Uncorrected energy in eV per cell: -95.05
V in Å³/atom: 15.02
ΔE_f (raw) in eV/f.u.: -2.69

CIF file:
```
data_TbSiOs2C
_cell_length_a 3.847
_cell_length_b 5.846
_cell_length_c 7.071
_cell_angle_alpha 90.00
_cell_angle_beta 90.00
_cell_angle_gamma 109.21
_symmetry_space_group_name_H-M 'P 1'
_symmetry_Int_Tables_number 1
_symmetry_space_group_name_Hall 'P 1'
loop_
_atom_site_label
_atom_site_type_symbol
_atom_site_fract_x
_atom_site_fract_y
_atom_site_fract_z
Os1 Os 0.834 0.669 0.559
Os2 Os 0.166 0.331 0.441
Tb1 Tb 0.452 0.903 0.250
C1 C 0.000 0.000 0.000
Os3 Os 0.166 0.331 0.059
Si1 Si 0.731 0.462 0.250
Si2 Si 0.269 0.538 0.750
C2 C 0.000 0.000 0.500
Os4 Os 0.834 0.669 0.941
Tb2 Tb 0.548 0.097 0.750
```


[13]
Material: Ga2Co2Ni
Method: DFT, PBEsol
State: optimized geometry

Uncorrected energy in eV per cell: -26.49
V in Å³/atom: 13.18
Calculated formation energy in eV/atom: 0.3638

CIF file:
```
data_Ga2Co2Ni
_cell_length_a 3.472
_cell_length_b 3.472
_cell_length_c 5.993
_cell_angle_alpha 106.84
_cell_angle_beta 106.84
_cell_angle_gamma 90.00
_symmetry_space_group_name_H-M 'P 1'
_symmetry_Int_Tables_number 1
_symmetry_space_group_name_Hall 'P 1'
loop_
_atom_site_label
_atom_site_type_symbol
_atom_site_fract_x
_atom_site_fract_y
_atom_site_fract_z
Co1 Co 0.402 0.402 0.804
Co2 Co 0.598 0.598 0.196
Ga1 Ga 0.750 0.250 0.500
Ni1 Ni 0.000 0.000 0.000
Ga2 Ga 0.250 0.750 0.500
```